Entry 1:
The following is a PBE-GGA calculation of an optimized crystal structure of Pr5Cl12, from the Alexandria database.

abc: 8.1836 8.1836 23.4004
angles: 90.00 90.00 120.00
Element x y z (fractional)
Pr1 0.0000 0.0000 0.0000
Pr2 0.0000 0.0000 0.1471
Pr3 0.0000 0.0000 0.8529
Pr4 0.3333 0.6667 0.1223
Pr5 0.3333 0.6667 0.2855
Pr6 0.3333 0.6667 0.4558
Pr7 0.3333 0.6667 0.6287
Pr8 0.3333 0.6667 0.7965
Pr9 0.3333 0.6667 0.9621
Pr10 0.6667 0.3333 0.0379
Pr11 0.6667 0.3333 0.2035
Pr12 0.6667 0.3333 0.3713
Pr13 0.6667 0.3333 0.5442
Pr14 0.6667 0.3333 0.7145
Pr15 0.6667 0.3333 0.8777
Cl1 0.0742 0.6961 0.0403
Cl2 0.0785 0.6929 0.8786
Cl3 0.0817 0.7128 0.2012
Cl4 0.0879 0.6850 0.7144
Cl5 0.0984 0.6965 0.3710
Cl6 0.1017 0.6949 0.5428
Cl7 0.2872 0.3689 0.2012
Cl8 0.3035 0.4019 0.3710
Cl9 0.3039 0.3781 0.0403
Cl10 0.3051 0.4068 0.5428
Cl11 0.3071 0.3856 0.8786
Cl12 0.3150 0.4030 0.7144
Cl13 0.3689 0.0817 0.7988
Cl14 0.3781 0.0742 0.9597
Cl15 0.3856 0.0785 0.1214
Cl16 0.4019 0.0984 0.6290
Cl17 0.4030 0.0879 0.2856
Cl18 0.4068 0.1017 0.4572
Cl19 0.5932 0.8983 0.5428
Cl20 0.5970 0.9121 0.7144
Cl21 0.5981 0.9016 0.3710
Cl22 0.6144 0.9215 0.8786
Cl23 0.6219 0.9258 0.0403
Cl24 0.6311 0.9183 0.2012
Cl25 0.6850 0.5970 0.2856
Cl26 0.6929 0.6144 0.1214
Cl27 0.6949 0.5932 0.4572
Cl28 0.6961 0.6219 0.9597
Cl29 0.6965 0.5981 0.6290
Cl30 0.7128 0.6311 0.7988
Cl31 0.8983 0.3051 0.4572
Cl32 0.9016 0.3035 0.6290
Cl33 0.9121 0.3150 0.2856
Cl34 0.9183 0.2872 0.7988
Cl35 0.9215 0.3071 0.1214
Cl36 0.9258 0.3039 0.9597

Properties
E: -4.7841 eV per atom
Total magnetization: 2.28 μB/cell
Uncorrected formation energy: -2.0749 eV/atom
Crystal system: trigonal



Entry 2:
The following is a PBE-GGA calculation of an optimized crystal structure of Pr2Cl5, from the Alexandria database.

abc: 8.1555 8.1555 7.7918
angles: 97.66 97.66 45.68
Element x y z (fractional)
Pr1 0.1066 0.6867 0.9137
Pr2 0.3133 0.8934 0.5863
Pr3 0.6867 0.1066 0.4137
Pr4 0.8934 0.3133 0.0863
Cl1 0.0975 0.9025 0.2500
Cl2 0.1467 0.2917 0.8367
Cl3 0.2883 0.5437 0.5757
Cl4 0.2917 0.1467 0.3367
Cl5 0.4563 0.7117 0.9243
Cl6 0.5437 0.2883 0.0757
Cl7 0.7083 0.8533 0.6633
Cl8 0.7117 0.4563 0.4243
Cl9 0.8533 0.7083 0.1633
Cl10 0.9025 0.0975 0.7500

Properties
E: -4.7814 eV per atom
Total magnetization: 1.40 μB/cell
Uncorrected formation energy: -2.0969 eV/atom
Crystal system: monoclinic



Entry 3:
The following is a PBE-GGA calculation of an optimized crystal structure of PrCl, from the Alexandria database.

abc: 3.5845 5.7605 4.8494
angles: 90.00 90.00 90.00
Element x y z (fractional)
Pr1 0.2500 0.2500 0.1770
Pr2 0.7500 0.7500 0.8230
Cl1 0.2500 0.7500 0.3186
Cl2 0.7500 0.2500 0.6814

Properties
E: -4.6506 eV per atom
Total magnetization: 0.00 μB/cell
Uncorrected formation energy: -1.3375 eV/atom
Crystal system: orthorhombic



Entry 4:
The following is a PBE-GGA calculation of an optimized crystal structure of PrCl, from the Alexandria database.

abc: 4.1223 4.1223 4.1223
angles: 60.00 60.00 60.00
Element x y z (fractional)
Pr1 0.0000 0.0000 0.0000
Cl1 0.5000 0.5000 0.5000

Properties
E: -4.5754 eV per atom
Total magnetization: 0.00 μB/cell
Uncorrected formation energy: -1.2623 eV/atom
Crystal system: cubic



Entry 5:
The following is a PBE-GGA calculation of an optimized crystal structure of Pr3Cl2, from the Alexandria database.

abc: 7.6792 7.6792 7.6792
angles: 55.85 55.85 55.85
Element x y z (fractional)
Pr1 0.0902 0.7500 0.4098
Pr2 0.2500 0.5902 0.9098
Pr3 0.4098 0.0902 0.7500
Pr4 0.5902 0.9098 0.2500
Pr5 0.7500 0.4098 0.0902
Pr6 0.9098 0.2500 0.5902
Cl1 0.1656 0.1656 0.1656
Cl2 0.3344 0.3344 0.3344
Cl3 0.6656 0.6656 0.6656
Cl4 0.8344 0.8344 0.8344

Properties
E: -4.6938 eV per atom
Total magnetization: 0.00 μB/cell
Uncorrected formation energy: -1.0875 eV/atom
Crystal system: trigonal



Entry 6:
The following is a PBE-GGA calculation of an optimized crystal structure of Pr7PtCl12, from the Alexandria database.

abc: 9.3511 9.3511 9.3511
angles: 107.74 107.74 107.74
Element x y z (fractional)
Pr1 0.0000 0.0000 0.0000
Pr2 0.1716 0.3758 0.4733
Pr3 0.3758 0.4733 0.1716
Pr4 0.4733 0.1716 0.3758
Pr5 0.5267 0.8284 0.6242
Pr6 0.6242 0.5267 0.8284
Pr7 0.8284 0.6242 0.5267
Pt1 0.5000 0.5000 0.5000
Cl1 0.0280 0.3305 0.1212
Cl2 0.1212 0.0280 0.3305
Cl3 0.1880 0.7065 0.5825
Cl4 0.2935 0.4175 0.8120
Cl5 0.3305 0.1212 0.0280
Cl6 0.4175 0.8120 0.2935
Cl7 0.5825 0.1880 0.7065
Cl8 0.6695 0.8788 0.9720
Cl9 0.7065 0.5825 0.1880
Cl10 0.8120 0.2935 0.4175
Cl11 0.8788 0.9720 0.6695
Cl12 0.9720 0.6695 0.8788

Properties
E: -5.0317 eV per atom
Total magnetization: 1.08 μB/cell
Uncorrected formation energy: -1.9488 eV/atom
Crystal system: trigonal



Entry 7:
The following is a PBE-GGA calculation of an optimized crystal structure of Pr2PtCl, from the Alexandria database.

abc: 7.8781 7.8781 7.8781
angles: 31.14 31.14 31.14
Element x y z (fractional)
Pr1 0.2365 0.2365 0.2365
Pr2 0.7635 0.7635 0.7635
Pt1 0.5000 0.5000 0.5000
Cl1 0.0000 0.0000 0.0000

Properties
E: -5.6956 eV per atom
Total magnetization: 0.00 μB/cell
Uncorrected formation energy: -1.3340 eV/atom
Crystal system: trigonal
Excess energy over the best structure of this formula in the dataset: 0.000 eV per atom



Entry 8:
The following is a PBE-GGA calculation of an optimized crystal structure of PrPtCl, from the Alexandria database.

abc: 7.3902 7.3902 5.1735
angles: 90.00 90.00 148.34
Element x y z (fractional)
Pr1 0.1164 0.8836 0.7500
Pr2 0.8836 0.1164 0.2500
Pt1 0.4784 0.5216 0.7500
Pt2 0.5216 0.4784 0.2500
Cl1 0.2213 0.7787 0.2500
Cl2 0.7787 0.2213 0.7500

Properties
E: -5.6885 eV per atom
Total magnetization: 0.00 μB/cell
Uncorrected formation energy: -1.4662 eV/atom
Crystal system: orthorhombic



Entry 9:
The following is a PBE-GGA calculation of an optimized crystal structure of Pr2PtCl, from the Alexandria database.

abc: 8.0881 8.0881 8.0881
angles: 29.97 29.97 29.97
Element x y z (fractional)
Pr1 0.0000 0.0000 0.0000
Pr2 0.1952 0.1952 0.1952
Pt1 0.5978 0.5978 0.5978
Cl1 0.4278 0.4278 0.4278

Properties
E: -5.6648 eV per atom
Total magnetization: 0.00 μB/cell
Uncorrected formation energy: -1.3032 eV/atom
Crystal system: trigonal
Excess energy over the best structure of this formula in the dataset: 0.031 eV per atom



Entry 10:
The following is a PBE-GGA calculation of an optimized crystal structure of Pr2PtCl2, from the Alexandria database.

abc: 4.1424 4.1424 11.3964
angles: 101.48 101.48 60.00
Element x y z (fractional)
Pr1 0.2234 0.2234 0.1554
Pr2 0.7766 0.7766 0.8446
Pt1 0.5000 0.5000 0.0000
Cl1 0.0520 0.0520 0.6858
Cl2 0.9480 0.9480 0.3142

Properties
E: -5.5040 eV per atom
Total magnetization: 0.00 μB/cell
Uncorrected formation energy: -1.6453 eV/atom
Crystal system: monoclinic



Entry 11:
The following is a PBE-GGA calculation of an optimized crystal structure of Pr2PtCl, from the Alexandria database.

abc: 3.4935 3.4935 8.1887
angles: 90.00 90.00 90.00
Element x y z (fractional)
Pr1 0.0000 0.0000 0.2254
Pr2 0.0000 0.0000 0.7746
Pt1 0.5000 0.5000 0.0000
Cl1 0.5000 0.5000 0.5000

Properties
E: -5.5114 eV per atom
Total magnetization: 0.00 μB/cell
Uncorrected formation energy: -1.1498 eV/atom
Crystal system: tetragonal
Excess energy over the best structure of this formula in the dataset: 0.184 eV per atom



Entry 12:
The following is a PBE-GGA calculation of an optimized crystal structure of Pr8PtRh3Cl4, from the Alexandria database.

abc: 8.3079 8.3079 8.9806
angles: 117.59 117.59 60.01
Element x y z (fractional)
Pr1 0.2305 0.7377 0.7055
Pr2 0.2356 0.2356 0.7064
Pr3 0.2624 0.2624 0.2945
Pr4 0.2623 0.7695 0.2945
Pr5 0.7377 0.2305 0.7055
Pr6 0.7376 0.7376 0.7055
Pr7 0.7644 0.7644 0.2936
Pr8 0.7695 0.2623 0.2945
Pt1 0.5000 0.5000 0.5000
Rh1 0.0000 0.0000 0.5000
Rh2 0.0000 0.5000 0.5000
Rh3 0.5000 0.0000 0.5000
Cl1 0.0000 0.0000 0.0000
Cl2 0.0000 0.5000 0.0000
Cl3 0.5000 0.0000 0.0000
Cl4 0.5000 0.5000 0.0000

Properties
E: -5.8149 eV per atom
Total magnetization: 0.00 μB/cell
Uncorrected formation energy: -1.2075 eV/atom
Crystal system: monoclinic



Question: Which formula does entry 11 have?
Answer: Pr2PtCl



What did the sixth record say?
The following is a PBE-GGA calculation of an optimized crystal structure of Pr7PtCl12, from the Alexandria database.

abc: 9.3511 9.3511 9.3511
angles: 107.74 107.74 107.74
Element x y z (fractional)
Pr1 0.0000 0.0000 0.0000
Pr2 0.1716 0.3758 0.4733
Pr3 0.3758 0.4733 0.1716
Pr4 0.4733 0.1716 0.3758
Pr5 0.5267 0.8284 0.6242
Pr6 0.6242 0.5267 0.8284
Pr7 0.8284 0.6242 0.5267
Pt1 0.5000 0.5000 0.5000
Cl1 0.0280 0.3305 0.1212
Cl2 0.1212 0.0280 0.3305
Cl3 0.1880 0.7065 0.5825
Cl4 0.2935 0.4175 0.8120
Cl5 0.3305 0.1212 0.0280
Cl6 0.4175 0.8120 0.2935
Cl7 0.5825 0.1880 0.7065
Cl8 0.6695 0.8788 0.9720
Cl9 0.7065 0.5825 0.1880
Cl10 0.8120 0.2935 0.4175
Cl11 0.8788 0.9720 0.6695
Cl12 0.9720 0.6695 0.8788

Properties
E: -5.0317 eV per atom
Total magnetization: 1.08 μB/cell
Uncorrected formation energy: -1.9488 eV/atom
Crystal system: trigonal



Question: Among the records above, which one has the lowest uncorrected formation energy?
Answer: Pr2Cl5